Entry 1:
The following is a DFT calculation (PBE) of a geometry-optimized Cs2TeOs structure.

```
4
Lattice="-4.4965 -0.0236 4.4508 -5.7997 2.1368 -1.3512 -4.8446 -4.0476 -0.4190" Properties=species:S:1:pos:R:3 pbc="T T T"
Cs -3.7852 -0.4836 0.6701
Cs -11.3556 -1.4508 2.0104
Te 0.0000 0.0000 0.0000
Os -7.5704 -0.9672 1.3403
```

Mass density in Mg/m³: 5.412
Formation energy from raw total energies in meV per atom: 1080
Energy in eV per atom: -2.940



Entry 2:
The following is a DFT calculation (PBE) of a geometry-optimized CsTeOs3 structure.

```
5
Lattice="4.9903 0.0000 0.0000 0.0000 4.9903 0.0000 0.0000 0.0000 4.9903" Properties=species:S:1:pos:R:3 pbc="T T T"
Cs 0.0000 0.0000 0.0000
Te 2.4952 2.4952 2.4952
Os 0.0000 2.4952 0.0000
Os 0.0000 0.0000 2.4952
Os 2.4952 0.0000 0.0000
```

Mass density in Mg/m³: 11.106
Formation energy from raw total energies in meV per atom: 3854
Energy in eV per atom: -3.683



Entry 3:
The following is a DFT calculation (PBE) of a geometry-optimized CsTe3Os structure.

```
5
Lattice="6.4267 0.0000 0.0000 0.0000 6.4267 0.0000 0.0000 0.0000 6.4267" Properties=species:S:1:pos:R:3 pbc="T T T"
Cs 0.0000 0.0000 0.0000
Te 0.0000 3.2133 0.0000
Te 0.0000 0.0000 3.2133
Te 3.2133 0.0000 0.0000
Os 3.2133 3.2133 3.2133
```

Mass density in Mg/m³: 4.416
Formation energy from raw total energies in meV per atom: 2304
Energy in eV per atom: -1.997



- The lowest formation energy from raw total energies belongs to which entry?
  Cs2TeOs



- Among the records above, which one has the lowest energy?
  CsTeOs3



- energy of number 2 (CsTeOs3)?
  -3.683 eV per atom



- Among the records above, which one has the lowest mass density?
  CsTe3Os